No. 1
# PBE Cs12Rb6Cd, optimized geometry
data_Cs12Rb6Cd
_cell_length_a 12.4446
_cell_length_b 12.4446
_cell_length_c 12.4446
_cell_angle_alpha 89.23
_cell_angle_beta 89.23
_cell_angle_gamma 89.23
_symmetry_space_group_name_H-M 'P 1'
_symmetry_Int_Tables_number 1
_symmetry_space_group_name_Hall 'P 1'
loop_
_atom_site_label
_atom_site_fract_x
_atom_site_fract_y
_atom_site_fract_z
Cs1 0.3639 0.0397 0.1419
Cs2 0.1419 0.3639 0.0397
Cs3 0.0397 0.1419 0.3639
Cs4 0.5257 0.4402 0.8045
Cs5 0.4402 0.8045 0.5257
Cs6 0.5598 0.1955 0.4743
Cs7 0.6361 0.9603 0.8581
Cs8 0.8045 0.5257 0.4402
Cs9 0.4743 0.5598 0.1955
Cs10 0.9603 0.8581 0.6361
Cs11 0.8581 0.6361 0.9603
Cs12 0.1955 0.4743 0.5598
Rb1 0.1056 0.7548 0.2502
Rb2 0.8944 0.2452 0.7498
Rb3 0.2502 0.1056 0.7548
Rb4 0.7498 0.8944 0.2452
Rb5 0.2452 0.7498 0.8944
Rb6 0.7548 0.2502 0.1056
Cd1 0.0000 0.0000 0.0000
# Formation energy (eV/atom): 0.0176

No. 2
# PBE ScGeP2Cl, optimized geometry
data_ScGeP2Cl
_cell_length_a 4.7168
_cell_length_b 4.7168
_cell_length_c 4.7944
_cell_angle_alpha 90.00
_cell_angle_beta 90.00
_cell_angle_gamma 90.00
_symmetry_space_group_name_H-M 'P 1'
_symmetry_Int_Tables_number 1
_symmetry_space_group_name_Hall 'P 1'
loop_
_atom_site_label
_atom_site_fract_x
_atom_site_fract_y
_atom_site_fract_z
P1 0.5000 0.0000 0.0000
P2 0.0000 0.5000 0.0000
Sc1 0.5000 0.5000 0.5000
Cl1 0.0000 0.0000 0.5000
Ge1 0.0000 0.0000 0.0000
# ΔE to the lowest computed polymorph (eV/atom): 0.0731
# Uncorrected formation energy (eV per atom): 0.11

No. 3
# PBE FeBSb2I, optimized geometry
data_FeBSb2I
_cell_length_a 4.7755
_cell_length_b 4.7755
_cell_length_c 5.7213
_cell_angle_alpha 90.00
_cell_angle_beta 90.00
_cell_angle_gamma 90.00
_symmetry_space_group_name_H-M 'P 1'
_symmetry_Int_Tables_number 1
_symmetry_space_group_name_Hall 'P 1'
loop_
_atom_site_label
_atom_site_fract_x
_atom_site_fract_y
_atom_site_fract_z
Sb1 0.0000 0.5000 0.0000
Sb2 0.5000 0.0000 0.0000
Fe1 0.0000 0.0000 0.0000
B1 0.5000 0.5000 0.5000
I1 0.0000 0.0000 0.5000
# ΔE to the lowest computed polymorph (eV/atom): 0.0570
# Uncorrected formation energy (eV per atom): 1.25

Density: 1.91; 3.35; 5.56 (g cm⁻³)